{
  "formula": "KMnGe2O6",
  "functional": "GGA+U",
  "state": "optimized geometry",
  "vol_a3_per_atom": 16.35,
  "sg": "C2/c, No. 15",
  "crystal_system": "monoclinic",
  "e_tot_ry_per_atom": -0.4664,
  "lattice_angstrom": [[-0.8891, -5.2870, 1.4688], [3.5569, -0.3400, 7.0405], [-7.4218, 0.2939, 2.6770]],
  "species": ["O", "Ge", "O", "K", "O", "Mn", "Ge", "O", "O", "O", "O", "O", "Ge", "K", "Mn", "O", "O", "Ge", "O", "O"],
  "frac_coords": [[0.7341, 0.0285, 0.2308], [0.1407, 0.3825, 0.2281], [0.4253, 0.3796, 0.3019], [0.7500, 0.1023, 0.8977], [0.5309, 0.2065, 0.6000], [0.2500, 0.2190, 0.7810], [0.6407, 0.2281, 0.3825], [0.9253, 0.3019, 0.3796], [0.0309, 0.6000, 0.2065], [0.9691, 0.4000, 0.7935], [0.7659, 0.7692, 0.9715], [0.4691, 0.7935, 0.4000], [0.3593, 0.7719, 0.6175], [0.2500, 0.8977, 0.1023], [0.7500, 0.7810, 0.2190], [0.2659, 0.9715, 0.7692], [0.5747, 0.6204, 0.6981], [0.8593, 0.6175, 0.7719], [0.2341, 0.2308, 0.0285], [0.0747, 0.6981, 0.6204]]
}